Here is crystalline TaSi3 at its relaxed geometry from Alexandria via LeMat-Bulk. Energies are from GGA-PBE.

* formation energy without anion corrections: 0.199 eV per atom
* SG: No. 187
* DOS(E_F): 0.35 states/eV/cell
* total energy: -6.832 eV per atom

a = 3.001 Å, b = 3.001 Å, c = 7.997 Å
α = 90.00°, β = 90.00°, γ = 120.00°
Element x y z (fractional)
Ta (0.667, 0.333, 0.750)
Si (0.000, 0.000, 0.491)
Si (0.667, 0.333, 0.250)
Si (0.000, 0.000, 0.009)